! BIrF (GGA-PBE, relaxed); values from VASP
&SYSTEM
  ibrav = 0, nat = 6, ntyp = 3
/
ATOMIC_SPECIES
B 10.81 B.upf
Ir 192.22 Ir.upf
F 19.00 F.upf
CELL_PARAMETERS angstrom
4.8561 -1.4020 0.0000
4.8561 1.4020 0.0000
-1.8429 0.0000 7.0150
ATOMIC_POSITIONS angstrom
B 1.1061 0.0000 2.0967
B 6.7633 0.0000 4.9183
Ir 2.6862 0.0000 3.5926
Ir 5.1831 0.0000 3.4223
F 1.2738 0.0000 0.7847
F 6.5955 0.0000 6.2302
! energy relative to the elements, uncorrected: -106.2 kJ/mol of atoms
! E: -6.904 eV/atom
! ρ: 7.719 g/cm3